{"formula": "SrTl2Te4As", "functional": "PBE-GGA", "state": "optimized geometry", "lattice_angstrom": [[-4.506, 4.678, 6.501], [4.506, -4.678, 6.501], [4.506, 4.678, -6.501]], "species": ["Sr", "Sr", "Tl", "Tl", "Tl", "Tl", "Te", "Te", "Te", "Te", "Te", "Te", "Te", "Te", "As", "As"], "fractional_positions": [[0.000, 0.000, 0.000], [0.500, 0.000, 0.500], [0.000, 0.500, 0.500], [0.500, 0.000, 0.000], [0.500, 0.500, 0.000], [0.500, 0.500, 0.500], [0.210, 0.749, 0.461], [0.212, 0.251, 0.961], [0.228, 0.229, 0.501], [0.228, 0.727, 0.999], [0.772, 0.273, 0.001], [0.772, 0.771, 0.499], [0.788, 0.749, 0.039], [0.790, 0.251, 0.539], [0.000, 0.000, 0.500], [0.000, 0.500, 0.000]], "volume_a3_per_atom": 34.3, "space_group": "No. 74", "formation_energy_uncorrected_ev_per_fu": -3.68}

***

{"formula": "SrZrTeAs2", "functional": "PBE-GGA", "state": "optimized geometry", "lattice_angstrom": [[5.407, 0.000, 0.000], [0.000, 5.407, 0.000], [0.000, 0.000, 5.700]], "species": ["Sr", "Zr", "Te", "As", "As"], "fractional_positions": [[0.000, 0.000, 0.000], [0.000, 0.000, 0.500], [0.500, 0.500, 0.500], [0.000, 0.500, 0.000], [0.500, 0.000, 0.000]], "volume_a3_per_atom": 33.3, "space_group": "No. 123", "formation_energy_uncorrected_ev_per_fu": 6.13}